This record from the Alexandria database describes crystalline SrPNO2 at its relaxed geometry. The functional is GGA-PBE.

Properties
* formation energy (no corrections): -1285 meV/atom
* uncorrected energy: -6.351 eV per atom

Unit cell a=3.8869 b=3.8869 c=3.4141 alpha=90.00 beta=90.00 gamma=90.00
Closest atoms and distances in Å follow each position.
Fractional coordinates of all 5 atoms:
1 O 0.0000 0.5000 0.0000  2 P 1.94
2 O 0.5000 0.0000 0.0000  2 P 1.94
3 P 0.0000 0.0000 0.0000  2 N 1.71
4 N 0.0000 0.0000 0.5000  2 P 1.71
5 Sr 0.5000 0.5000 0.5000  8 O 2.59, 4 N 2.75